Entry from Alexandria via LeMat-Bulk: a relaxed Ca2GeWC crystal (PBE-GGA).

Calculated values
E (eV/atom): -5.119
ρ (g cm⁻³): 5.602
ΔH_f (0 K) (meV/atom): 1040

Cell lengths 5.0760, 5.0760, 4.0108 Å; angles 90.00, 90.00, 90.00 degrees
Positions (direct):
Ca (0.0000, 0.5000, 0.0000)
Ca (0.5000, 0.0000, 0.0000)
Ge (0.0000, 0.0000, 0.5000)
W (0.5000, 0.5000, 0.5000)
C (0.0000, 0.0000, 0.0000)